{
  "formula": "Rb2FeF",
  "functional": "PBE+U",
  "state": "optimized geometry",
  "cell": [[-4.099, 4.099, 4.896], [4.099, -4.099, 4.896], [4.099, 4.099, -4.896]],
  "species": ["Rb", "Rb", "Rb", "Rb", "Fe", "Fe", "F", "F"],
  "frac_coords": [[0.024, 0.625, 0.899], [0.375, 0.274, 0.399], [0.726, 0.125, 0.101], [0.875, 0.976, 0.601], [0.250, 0.750, 0.500], [0.500, 0.500, 0.000], [0.000, 0.000, 0.000], [0.750, 0.250, 0.500]],
  "space_group": "No. 122",
  "magmom_total_mub_per_fu": 3.00,
  "dos_at_fermi_per_ev_cell": 0.0,
  "final_energy_ha_per_atom": -0.1119,
  "polymorph_energy_ev_per_fu": 0.00
}